# 1
A relaxed structure of Cs2CuIO4, computed with PBE. Values from VASP.

Cell and atoms, written as Quantum ESPRESSO input:
```
&SYSTEM
  ibrav = 0, nat = 16, ntyp = 4
/
ATOMIC_SPECIES
Cs 132.91 Cs.upf
Cu 63.55 Cu.upf
I 126.90 I.upf
O 16.00 O.upf
CELL_PARAMETERS angstrom
6.4664 0.0000 0.0000
0.0000 6.4664 0.0000
0.0000 0.0000 8.1442
ATOMIC_POSITIONS crystal
Cs 0.0000 0.0000 0.0000
Cs 0.0000 0.5000 0.2500
Cs 0.5000 0.0000 0.7500
Cs 0.5000 0.5000 0.5000
Cu 0.0000 0.0000 0.5000
Cu 0.5000 0.5000 0.0000
I 0.0000 0.5000 0.7500
I 0.5000 0.0000 0.2500
O 0.1084 0.7485 0.6240
O 0.2485 0.3916 0.8760
O 0.2515 0.1084 0.3760
O 0.3916 0.7515 0.1240
O 0.6084 0.2485 0.1240
O 0.7485 0.8916 0.3760
O 0.7515 0.6084 0.8760
O 0.8916 0.2515 0.6240
```

Computed properties:
ρ ... 5.1 Mg/m³
Size of the total moment ... 0.00 μB/f.u.
Energy relative to the elements, uncorrected ... -0.717 eV/atom

# 2
A relaxed structure of TbPr2DyEr5, computed with PBE. Values from VASP.

Cell and atoms, written as Quantum ESPRESSO input:
```
&SYSTEM
  ibrav = 0, nat = 18, ntyp = 4
/
ATOMIC_SPECIES
Tb 158.93 Tb.upf
Pr 140.91 Pr.upf
Dy 162.50 Dy.upf
Er 167.26 Er.upf
CELL_PARAMETERS angstrom
-4.3033 4.3033 7.8307
4.3033 -4.3033 7.8307
4.3033 4.3033 -7.8307
ATOMIC_POSITIONS crystal
Tb 0.2500 0.2500 0.0000
Tb 0.7500 0.7500 0.0000
Pr 0.1183 0.6183 0.7365
Pr 0.3817 0.1183 0.5000
Pr 0.6183 0.8817 0.5000
Pr 0.8817 0.3817 0.2635
Dy 0.2500 0.7500 0.5000
Dy 0.7500 0.2500 0.5000
Er 0.0000 0.0000 0.0000
Er 0.0721 0.1462 0.5000
Er 0.1462 0.6462 0.0741
Er 0.3538 0.4279 0.5000
Er 0.4279 0.9279 0.0741
Er 0.5000 0.5000 0.0000
Er 0.5721 0.0721 0.9259
Er 0.6462 0.5721 0.5000
Er 0.8538 0.3538 0.9259
Er 0.9279 0.8538 0.5000
```

Computed properties:
ρ ... 8.2 Mg/m³
Size of the total moment ... 0.00 μB/f.u.
Formation energy from the elements ... 0.270 eV per atom

# 3
A relaxed structure of Zn2GeSb, computed with PBE. Values from VASP.

Cell and atoms, written as Quantum ESPRESSO input:
```
&SYSTEM
  ibrav = 0, nat = 12, ntyp = 3
/
ATOMIC_SPECIES
Zn 65.41 Zn.upf
Ge 72.64 Ge.upf
Sb 121.76 Sb.upf
CELL_PARAMETERS angstrom
3.9856 0.0000 0.0000
-1.9928 3.4516 0.0000
0.0000 0.0000 18.0053
ATOMIC_POSITIONS crystal
Zn 0.0000 0.0000 0.2403
Zn 0.0000 0.0000 0.7597
Zn 0.3333 0.6667 0.4264
Zn 0.3333 0.6667 0.9070
Zn 0.6667 0.3333 0.0930
Zn 0.6667 0.3333 0.5736
Ge 0.0000 0.0000 0.5000
Ge 0.3333 0.6667 0.1667
Ge 0.6667 0.3333 0.8333
Sb 0.0000 0.0000 0.0000
Sb 0.3333 0.6667 0.6667
Sb 0.6667 0.3333 0.3333
```

Computed properties:
Excess energy over the best structure of this formula in the dataset ... 40 meV/atom
ρ ... 6.5 Mg/m³
Size of the total moment ... 0.00 μB/f.u.
Energy relative to the elements, uncorrected ... 0.192 eV/atom

# 4
A relaxed structure of Y3HoSb2, computed with PBE. Values from VASP.

Cell and atoms, written as Quantum ESPRESSO input:
```
&SYSTEM
  ibrav = 0, nat = 12, ntyp = 3
/
ATOMIC_SPECIES
Y 88.91 Y.upf
Ho 164.93 Ho.upf
Sb 121.76 Sb.upf
CELL_PARAMETERS angstrom
-3.5117 7.1840 3.8057
3.5117 -7.1840 3.8057
3.5117 7.1840 -3.8057
ATOMIC_POSITIONS crystal
Y 0.0426 0.7500 0.2926
Y 0.2500 0.2500 0.0000
Y 0.4574 0.7500 0.7074
Y 0.5426 0.2500 0.2926
Y 0.7500 0.7500 0.0000
Y 0.9574 0.2500 0.7074
Ho 0.0000 0.5000 0.5000
Ho 0.5000 0.0000 0.5000
Sb 0.1466 0.1761 0.3227
Sb 0.3534 0.6761 0.0295
Sb 0.6466 0.3239 0.9705
Sb 0.8534 0.8239 0.6773
```

Computed properties:
Excess energy over the best structure of this formula in the dataset ... 237 meV/atom
ρ ... 5.8 Mg/m³
Size of the total moment ... 0.53 μB/f.u.
Energy relative to the elements, uncorrected ... -0.591 eV/atom